Record 1
Crystalline KHg at its relaxed geometry. Source: Alexandria via LeMat-Bulk, functional GGA-PBEsol.

```
KHg
1.0
-2.716 2.133 -5.486
-5.268 -3.686 1.628
-0.362 5.598 4.064
Hg K
4 4
Direct
0.198 0.099 0.289
0.802 0.901 0.711
0.890 0.305 0.045
0.110 0.695 0.955
0.248 0.659 0.475
0.752 0.341 0.525
0.666 0.800 0.149
0.334 0.200 0.851
```

As for the space group: P-1 (2). Its formation energy from the elements is -44 kJ/mol of formula units. For the magnetization, the calculation gives 0.000 Bohr magnetons per cell. The value obtained for the final energy is -1.080 eV per atom.

***

Record 2
Crystalline KHg at its relaxed geometry. Source: Alexandria via LeMat-Bulk, functional GGA-PBEsol.

```
KHg
1.0
-3.940 3.267 2.283
-5.213 -0.042 -2.058
-4.166 -2.290 2.968
K Hg
2 2
Direct
0.000 0.000 0.000
0.250 0.250 0.250
0.500 0.500 0.500
0.750 0.750 0.750
```

As for the space group: Fd-3m (227). Its formation energy from the elements is -27 kJ/mol of formula units. For the magnetization, the calculation gives 0.000 Bohr magnetons per cell. The value obtained for the final energy is -0.988 eV per atom.

***

Record 3
Crystalline KHg at its relaxed geometry. Source: Alexandria via LeMat-Bulk, functional GGA-PBEsol.

```
KHg
1.0
-0.049 5.027 -1.328
-4.294 2.110 -2.035
-3.382 3.838 4.474
K Hg
2 2
Direct
0.602 0.602 0.194
0.398 0.398 0.806
0.168 0.168 0.496
0.832 0.832 0.504
```

As for the space group: R-3m (166). Its formation energy from the elements is -39 kJ/mol of formula units. For the magnetization, the calculation gives 0.000 Bohr magnetons per cell. The value obtained for the final energy is -1.051 eV per atom.

***

Record 4
Crystalline KHg at its relaxed geometry. Source: Alexandria via LeMat-Bulk, functional GGA-PBEsol.

```
KHg
1.0
5.214 0.000 0.000
2.607 6.123 -0.486
2.607 0.730 6.555
K Hg
3 3
Direct
0.625 0.055 0.694
0.062 0.473 0.404
0.765 0.466 0.004
0.006 0.912 0.076
0.390 0.924 0.296
0.319 0.669 0.692
```

As for the space group: Cm (8). Its formation energy from the elements is -36 kJ/mol of formula units. For the magnetization, the calculation gives 0.000 Bohr magnetons per cell. The value obtained for the final energy is -1.034 eV per atom.

***

Record 5
Crystalline K17Hg12 at its relaxed geometry. Source: Alexandria via LeMat-Bulk, functional GGA-PBEsol.

```
K17Hg12
1.0
11.081 0.000 0.000
-3.694 10.447 0.000
-3.694 -5.224 9.047
Hg K
12 17
Direct
0.173 0.352 0.352
0.827 0.179 0.179
0.000 0.821 0.648
0.000 0.648 0.821
0.352 0.173 0.352
0.179 0.827 0.179
0.648 0.000 0.821
0.821 0.000 0.648
0.352 0.352 0.173
0.179 0.179 0.827
0.821 0.648 0.000
0.648 0.821 0.000
0.718 0.419 0.419
0.282 0.702 0.702
0.000 0.298 0.581
0.000 0.581 0.298
0.419 0.718 0.419
0.702 0.282 0.702
0.581 0.000 0.298
0.298 0.000 0.581
0.419 0.419 0.718
0.702 0.702 0.282
0.298 0.581 0.000
0.581 0.298 0.000
0.681 0.681 0.681
0.319 0.000 0.000
0.000 0.000 0.319
0.000 0.319 0.000
0.000 0.000 0.000
```

As for the space group: I-43m (217). Its formation energy from the elements is -340 kJ/mol of formula units. For the magnetization, the calculation gives 0.001 Bohr magnetons per cell. The value obtained for the final energy is -1.020 eV per atom.

***

Record 6
Crystalline K5Hg4 at its relaxed geometry. Source: Alexandria via LeMat-Bulk, functional GGA-PBEsol.

```
K5Hg4
1.0
-5.096 -2.253 -4.499
-3.848 -6.084 7.404
-3.404 9.698 -1.002
Hg K
8 10
Direct
0.000 0.000 0.000
0.500 0.000 0.000
0.750 0.000 0.385
0.750 0.385 0.000
0.750 0.615 0.615
0.250 0.000 0.615
0.250 0.615 0.000
0.250 0.385 0.385
0.750 0.000 0.723
0.750 0.723 0.000
0.750 0.277 0.277
0.250 0.000 0.277
0.250 0.277 0.000
0.250 0.723 0.723
0.000 0.333 0.667
0.500 0.667 0.333
0.000 0.667 0.333
0.500 0.333 0.667
```

As for the space group: P6_3/mcm (193). Its formation energy from the elements is -115 kJ/mol of formula units. For the magnetization, the calculation gives 0.000 Bohr magnetons per cell. The value obtained for the final energy is -1.015 eV per atom.